[1]
Entry from the Alexandria database: a relaxed structure of GaSO2F (PBE).

Output
For the volume, the calculation gives 11.53 Å³/atom. The spin magnetization is 0.01 μB per formula unit. The total DFT energy (no corrections) comes out at -21.5 eV/cell. The calculation puts the raw formation energy at -0.511 eV per atom. The space group is No. 123.

extended XYZ file:
```
5
Lattice="-3.0600 2.2882 -0.8800 -2.4490 -2.9172 0.9306 -0.1067 1.2198 3.5427" Properties=species:S:1:pos:R:3 pbc="T T T"
S -2.8079 0.2954 1.7967
O -1.2245 -1.4586 0.4653
O -1.5300 1.1441 -0.4400
Ga 0.0000 0.0000 0.0000
F -0.0533 0.6099 1.7714
```



[2]
Entry from the Alexandria database: a relaxed structure of NpVRh6 (PBE).

Output
For the volume, the calculation gives 15.09 Å³/atom. The spin magnetization is 1.75 μB per formula unit. The total DFT energy (no corrections) comes out at -69.0 eV/cell. The energy relative to the elements is -0.356 eV per atom. The space group is No. 123.

extended XYZ file:
```
8
Lattice="-0.5923 -1.4912 -3.5677 -1.0112 -3.4240 1.5990 -7.5250 2.3476 0.2681" Properties=species:S:1:pos:R:3 pbc="T T T"
Np 0.0000 0.0000 0.0000
V -3.7625 1.1738 0.1341
Rh -0.8018 -2.4576 -0.9844
Rh -4.5643 -1.2838 -0.8503
Rh -2.3045 -0.1191 -1.7123
Rh -5.8128 0.9755 -1.5873
Rh -2.5139 -1.0855 0.8711
Rh -6.0223 0.0091 0.9961
```



[3]
Entry from the Alexandria database: a relaxed structure of La4Pr4Mg (PBE).

Output
For the volume, the calculation gives 36.05 Å³/atom. The spin magnetization is 0.00 μB per formula unit. The total DFT energy (no corrections) comes out at -39.5 eV/cell. The energy relative to the elements is 0.105 eV per atom. The space group is No. 12.

extended XYZ file:
```
9
Lattice="-5.0430 -1.4562 2.3636 -3.1596 -4.2060 -2.3221 2.9539 -7.1527 8.9057" Properties=species:S:1:pos:R:3 pbc="T T T"
La -3.8173 -4.6966 2.9830
La -5.7452 -7.7434 4.0026
La -1.4314 -8.1182 5.9643
La 0.4965 -5.0715 4.9446
Pr -1.0782 -2.8177 2.9744
Pr -4.1704 -9.9971 5.9729
Pr -2.8424 -8.9836 9.4309
Pr -2.4063 -3.8312 -0.4837
Mg -2.5215 -0.7281 1.1818
```



[4]
Entry from the Alexandria database: a relaxed structure of ZnFe2CoC (PBE).

Output
For the volume, the calculation gives 10.68 Å³/atom. The spin magnetization is 3.25 μB per formula unit. The total DFT energy (no corrections) comes out at -34.5 eV/cell. The energy relative to the elements is 0.010 eV per atom. The space group is No. 123.

extended XYZ file:
```
5
Lattice="-2.1042 -2.7067 1.5449 1.6723 -2.5536 -2.1963 2.6402 -0.5440 2.6429" Properties=species:S:1:pos:R:3 pbc="T T T"
C 0.0000 0.0000 0.0000
Zn 1.1041 -2.9022 0.9958
Co 1.3201 -0.2720 1.3214
Fe 0.8361 -1.2768 -1.0981
Fe -1.0521 -1.3534 0.7725
```



[5]
Entry from the Alexandria database: a relaxed structure of PtRhCl2 (PBE).

Output
For the volume, the calculation gives 18.37 Å³/atom. The spin magnetization is 0.00 μB per formula unit. The total DFT energy (no corrections) comes out at -16.6 eV/cell. Its energy above the most stable polymorph in this dataset is 0.233 eV/atom. The calculation puts the raw formation energy at 0.120 eV per atom. The space group is No. 38.

extended XYZ file:
```
4
Lattice="3.7379 0.0000 0.0000 0.0000 4.7078 0.0255 0.0000 2.1556 4.1875" Properties=species:S:1:pos:R:3 pbc="T T T"
Rh 1.8689 5.0808 3.1188
Pt 0.0000 3.5429 2.1746
Cl 0.0000 6.5505 4.0208
Cl 1.8689 1.9842 1.2180
```



[6]
Entry from the Alexandria database: a relaxed structure of Pr3Mg2Ru3C (PBE).

Output
For the volume, the calculation gives 20.85 Å³/atom. The spin magnetization is 0.00 μB per formula unit. The total DFT energy (no corrections) comes out at -52.5 eV/cell. The energy relative to the elements is 0.231 eV per atom. The space group is No. 189.

extended XYZ file:
```
9
Lattice="-2.9566 -1.2691 -1.3098 1.5590 -7.0142 3.2768 -4.1065 5.4133 4.0248" Properties=species:S:1:pos:R:3 pbc="T T T"
Pr -1.4011 1.8469 1.3732
Pr -1.6783 -1.0547 4.8105
Pr 0.5319 -2.3931 1.1180
Mg -3.6963 0.6363 3.1206
Mg -1.8078 -3.5062 2.8713
Ru -0.2357 -6.2250 1.9569
Ru -1.9954 -0.9594 0.8271
Ru -4.7513 3.6801 2.5530
C 0.0000 0.0000 0.0000
```



[7]
Entry from the Alexandria database: a relaxed structure of ScSb2Rh (PBE).

Output
For the volume, the calculation gives 23.21 Å³/atom. The spin magnetization is 0.00 μB per formula unit. The total DFT energy (no corrections) comes out at -46.4 eV/cell. The calculation puts the raw formation energy at -0.324 eV per atom. The space group is No. 122.

extended XYZ file:
```
8
Lattice="-0.5357 3.2181 3.0889 0.6069 -3.0295 3.2616 9.0829 1.7448 3.0247" Properties=species:S:1:pos:R:3 pbc="T T T"
Sc 0.0356 0.0943 3.1752
Sc 4.8627 -0.5952 4.7308
Sb 1.9952 2.1685 3.1901
Sb 2.5997 -1.1547 3.0851
Sb 6.8201 1.4732 4.5489
Sb 6.8933 1.3798 7.9263
Rh 0.0000 0.0000 0.0000
Rh 4.2914 2.5286 4.6444
```



[8]
Entry from the Alexandria database: a relaxed structure of PmSn7Pd2 (PBE).

Output
For the volume, the calculation gives 28.63 Å³/atom. The spin magnetization is 0.00 μB per formula unit. The total DFT energy (no corrections) comes out at -44.9 eV/cell. The energy relative to the elements is -0.176 eV per atom. The space group is No. 65.

extended XYZ file:
```
10
Lattice="-1.9218 -0.0986 4.2687 1.3862 -8.1370 0.4361 6.0107 4.9236 2.8198" Properties=species:S:1:pos:R:3 pbc="T T T"
Pm 0.0000 0.0000 0.0000
Sn 2.4366 -5.1702 0.9775
Sn 4.9603 1.9569 2.2784
Sn 1.1131 1.0504 3.0935
Sn 4.3620 -4.3624 4.4311
Sn -0.1148 -2.4176 2.4606
Sn 5.5899 -0.8944 5.0640
Sn 2.7376 -1.6560 3.7623
Pd 1.8809 -4.0755 3.3207
Pd 3.5943 0.7635 4.2039
```



[9]
Entry from the Alexandria database: a relaxed structure of Pr2SmErMg (PBE).

Output
For the volume, the calculation gives 33.00 Å³/atom. The spin magnetization is 0.00 μB per formula unit. The total DFT energy (no corrections) comes out at -39.3 eV/cell. The energy relative to the elements is 0.153 eV per atom. The space group is No. 51.

extended XYZ file:
```
10
Lattice="7.5074 0.0000 0.0000 0.0000 7.2972 1.3319 0.0000 -1.0642 5.8298" Properties=species:S:1:pos:R:3 pbc="T T T"
Pr 5.1567 4.4470 5.3297
Pr 5.1567 1.2539 4.7469
Pr 2.3507 4.9791 2.4148
Pr 2.3507 1.7860 1.8320
Sm 1.1190 2.8504 5.0383
Sm 6.3884 3.3826 2.1234
Er 4.7613 -0.2661 1.4574
Er 2.7460 -0.7982 4.3723
Mg 0.0000 0.0000 0.0000
Mg 0.0000 -0.5321 2.9149
```



[10]
Entry from the Alexandria database: a relaxed structure of AlAg2Pt (PBE).

Output
For the volume, the calculation gives 16.58 Å³/atom. The spin magnetization is 0.00 μB per formula unit. The total DFT energy (no corrections) comes out at -16.1 eV/cell. Its energy above the most stable polymorph in this dataset is 0.211 eV/atom. The energy relative to the elements is -0.142 eV per atom. The space group is No. 47.

extended XYZ file:
```
4
Lattice="2.8943 0.0000 0.0000 0.0000 4.1976 0.0000 0.0000 0.0000 5.4572" Properties=species:S:1:pos:R:3 pbc="T T T"
Ag 0.0000 0.0000 0.0140
Ag 0.0000 0.0000 2.7146
Pt 1.4472 2.0988 4.0929
Al 1.4472 2.0988 1.3643
```



[11]
Entry from the Alexandria database: a relaxed structure of SmMnP2Ru (PBE).

Output
For the volume, the calculation gives 15.67 Å³/atom. The spin magnetization is 0.00 μB per formula unit. The total DFT energy (no corrections) comes out at -38.7 eV/cell. The energy relative to the elements is -0.952 eV per atom. The space group is No. 119.

extended XYZ file:
```
5
Lattice="-1.5688 -3.6820 -0.3428 3.1042 -1.1088 -2.2957 1.6611 0.9917 5.2813" Properties=species:S:1:pos:R:3 pbc="T T T"
Sm 0.0000 0.0000 0.0000
Mn 0.4300 -2.5429 1.8096
P 1.4225 -2.7739 -0.2511
P 1.7739 -1.0253 2.8938
Ru 2.7665 -1.2563 0.8332
```



[12]
Entry from the Alexandria database: a relaxed structure of As2Cl (PBE).

Output
For the volume, the calculation gives 29.10 Å³/atom. The spin magnetization is 0.00 μB per formula unit. The total DFT energy (no corrections) comes out at -39.0 eV/cell. Its energy above the most stable polymorph in this dataset is 0.733 eV/atom. The calculation puts the raw formation energy at 0.462 eV per atom. The space group is No. 205.

extended XYZ file:
```
12
Lattice="7.0420 0.0000 0.0000 0.0000 7.0420 0.0000 0.0000 0.0000 7.0420" Properties=species:S:1:pos:R:3 pbc="T T T"
As 4.1694 4.1694 2.8726
As 2.8726 2.8726 4.1694
As 0.6484 6.3936 4.1694
As 6.3936 0.6484 2.8726
As 2.8726 0.6484 0.6484
As 4.1694 6.3936 6.3936
As 6.3936 2.8726 6.3936
As 0.6484 4.1694 0.6484
Cl 0.0000 0.0000 0.0000
Cl 3.5210 3.5210 0.0000
Cl 3.5210 0.0000 3.5210
Cl 0.0000 3.5210 3.5210
```